(1)
Below is a relaxed Si2IrCl crystal, with properties calculated at the GGA-PBE level.

Output
raw formation energy = 0.045 eV/atom
relative energy among the computed polymorphs = 406 meV/atom
uncorrected energy = -21.4 eV per cell

a = 6.620 Å, b = 5.037 Å, c = 2.939 Å
α = 70.39°, β = 93.83°, γ = 132.58°
Sites, in units of the cell vectors:
Ir (0.500, 0.500, 0.000)
Si (0.500, 0.000, 0.500)
Si (0.000, 0.000, 0.000)
Cl (0.000, 0.500, 0.500)

(2)
Below is a relaxed SiIrCl crystal, with properties calculated at the GGA-PBE level.

Output
raw formation energy = -0.573 eV/atom
relative energy among the computed polymorphs = 209 meV/atom
uncorrected energy = -71.4 eV per cell

a = 3.694 Å, b = 3.694 Å, c = 19.409 Å
α = 90.00°, β = 90.00°, γ = 90.00°
Sites, in units of the cell vectors:
Si (0.000, 0.000, 0.500)
Ir (0.000, 0.500, 0.076)
Cl (0.000, 0.000, 0.665)
Ir (0.000, 0.500, 0.424)
Ir (0.500, 0.000, 0.576)
Si (0.000, 0.000, 0.000)
Cl (0.000, 0.000, 0.335)
Ir (0.500, 0.000, 0.924)
Si (0.500, 0.500, 0.000)
Cl (0.500, 0.500, 0.165)
Si (0.500, 0.500, 0.500)
Cl (0.500, 0.500, 0.835)

(3)
Below is a relaxed SiIrCl2 crystal, with properties calculated at the GGA-PBE level.

Output
raw formation energy = 0.258 eV/atom
relative energy among the computed polymorphs = 657 meV/atom
uncorrected energy = -16.9 eV per cell

a = 7.077 Å, b = 7.077 Å, c = 7.077 Å
α = 155.65°, β = 145.49°, γ = 42.68°
Sites, in units of the cell vectors:
Cl (0.736, 0.236, 0.500)
Ir (0.460, 0.460, 0.000)
Cl (0.988, 0.988, 0.000)
Si (0.315, 0.815, 0.500)

(4)
Below is a relaxed Si2IrCl crystal, with properties calculated at the GGA-PBE level.

Output
raw formation energy = 0.202 eV/atom
relative energy among the computed polymorphs = 563 meV/atom
uncorrected energy = -20.7 eV per cell

a = 5.750 Å, b = 5.750 Å, c = 5.750 Å
α = 151.42°, β = 134.66°, γ = 54.47°
Sites, in units of the cell vectors:
Si (0.782, 0.282, 0.500)
Ir (0.216, 0.716, 0.500)
Cl (0.479, 0.479, 0.000)
Si (0.023, 0.023, 0.000)

(5)
Below is a relaxed Si2IrCl crystal, with properties calculated at the GGA-PBE level.

Output
raw formation energy = 0.637 eV/atom
relative energy among the computed polymorphs = 997 meV/atom
uncorrected energy = -19.0 eV per cell

a = 4.431 Å, b = 4.431 Å, c = 4.431 Å
α = 120.13°, β = 120.13°, γ = 89.78°
Sites, in units of the cell vectors:
Si (0.250, 0.750, 0.500)
Si (0.000, 0.000, 0.000)
Cl (0.500, 0.500, 0.000)
Ir (0.750, 0.250, 0.500)

(6)
Below is a relaxed SiIrCl2 crystal, with properties calculated at the GGA-PBE level.

Output
raw formation energy = 0.952 eV/atom
relative energy among the computed polymorphs = 1351 meV/atom
uncorrected energy = -14.2 eV per cell

a = 4.595 Å, b = 4.595 Å, c = 4.595 Å
α = 60.00°, β = 60.00°, γ = 60.00°
Site moments in Bohr magnetons follow the coordinates.
Sites, in units of the cell vectors:
Cl (0.750, 0.750, 0.750)  0.07
Si (0.000, 0.000, 0.000)  -0.02
Ir (0.500, 0.500, 0.500)  0.91
Cl (0.250, 0.250, 0.250)  0.07

(7)
Below is a relaxed Si2IrCl crystal, with properties calculated at the GGA-PBE level.

Output
raw formation energy = 0.140 eV/atom
relative energy among the computed polymorphs = 500 meV/atom
uncorrected energy = -21.0 eV per cell

a = 2.979 Å, b = 3.287 Å, c = 7.295 Å
α = 90.00°, β = 90.00°, γ = 90.00°
Sites, in units of the cell vectors:
Si (0.500, 0.500, 0.164)
Cl (0.000, 0.000, 0.557)
Ir (0.500, 0.500, 0.815)
Si (0.000, 0.000, 0.964)

(8)
Below is a relaxed Si2IrCl crystal, with properties calculated at the GGA-PBE level.

Output
raw formation energy = 0.013 eV/atom
relative energy among the computed polymorphs = 373 meV/atom
uncorrected energy = -43.0 eV per cell

a = 5.920 Å, b = 5.920 Å, c = 6.795 Å
α = 64.18°, β = 64.18°, γ = 90.00°
Sites, in units of the cell vectors:
Si (0.695, 0.125, 0.250)
Ir (0.750, 0.250, 0.500)
Si (0.055, 0.625, 0.250)
Cl (0.500, 0.500, 0.000)
Si (0.875, 0.945, 0.750)
Ir (0.000, 0.000, 0.000)
Si (0.375, 0.305, 0.750)
Cl (0.250, 0.750, 0.500)

- What is the raw formation energy in the first record?
  0.045 eV/atom

- What is the relative energy among the computed polymorphs in the first record?
  406 meV/atom

- Which of these has the lowest relative energy among the computed polymorphs?
  SiIrCl